1.
Entry from Alexandria via LeMat-Bulk: crystalline Au2SeCl at its relaxed geometry (PBE).

Energy above the most stable polymorph in this dataset   194 meV per atom
Formation energy without anion corrections   0.171 eV per atom
Space group   Cmmm, No. 65
Total moment   0.13 μB per formula unit
DOS(E_F)   0.73 states/eV per atom

a = 4.060 Å, b = 4.060 Å, c = 7.594 Å
α = 90.00°, β = 90.00°, γ = 127.12°
Last column: magnetic moment on the atom in μB.
Positions (direct):
Au (0.000, 0.000, 0.993)  0.01
Au (0.000, 0.000, 0.507)  0.01
Cl (0.500, 0.500, 0.250)  0.00
Se (0.500, 0.500, 0.750)  0.07

***

2.
Entry from Alexandria via LeMat-Bulk: crystalline BeSiP2 at its relaxed geometry (PBE).

Energy above the most stable polymorph in this dataset   802 meV per atom
Formation energy without anion corrections   0.424 eV per atom
Space group   Cmm2, No. 35
Total moment   0.00 μB per formula unit
DOS(E_F)   0.15 states/eV per atom

a = 2.587 Å, b = 2.587 Å, c = 8.435 Å
α = 90.00°, β = 90.00°, γ = 99.09°
Positions (direct):
P (0.000, 0.000, 0.925)
P (0.500, 0.500, 0.297)
Si (0.000, 0.000, 0.535)
Be (0.500, 0.500, 0.742)

***

3.
Entry from Alexandria via LeMat-Bulk: crystalline PuCuSnSe3 at its relaxed geometry (PBE).

Formation energy without anion corrections   -0.752 eV per atom
Space group   P2_1/m, No. 11
Total moment   5.00 μB per formula unit
DOS(E_F)   1.90 states/eV per atom

a = 3.952 Å, b = 8.860 Å, c = 8.772 Å
α = 95.83°, β = 90.00°, γ = 90.00°
Last column: magnetic moment on the atom in μB.
Positions (direct):
Pu (0.250, 0.139, 0.212)  5.20
Pu (0.750, 0.861, 0.788)  5.20
Cu (0.250, 0.075, 0.572)  -0.06
Cu (0.750, 0.925, 0.428)  -0.06
Sn (0.250, 0.636, 0.178)  -0.01
Sn (0.750, 0.364, 0.822)  -0.01
Se (0.750, 0.890, 0.141)  -0.09
Se (0.250, 0.110, 0.859)  -0.09
Se (0.250, 0.793, 0.528)  -0.08
Se (0.750, 0.207, 0.472)  -0.08
Se (0.750, 0.378, 0.141)  -0.07
Se (0.250, 0.622, 0.859)  -0.07

***

4.
Entry from Alexandria via LeMat-Bulk: crystalline Cd2BiHAu at its relaxed geometry (PBE).

Space group   P4/mmm, No. 123
Total moment   0.00 μB per formula unit
DOS(E_F)   0.08 states/eV per atom
Raw total energy   -0.0875 hartree per atom

a = 5.626 Å, b = 5.626 Å, c = 3.515 Å
α = 90.00°, β = 90.00°, γ = 90.00°
Positions (direct):
H (0.000, 0.000, 0.500)
Au (0.000, 0.000, 0.000)
Bi (0.500, 0.500, 0.500)
Cd (0.000, 0.500, 0.000)
Cd (0.500, 0.000, 0.000)

***

5.
Entry from Alexandria via LeMat-Bulk: crystalline DyTlHg at its relaxed geometry (PBE).

DFT formation energy   -0.82 eV/f.u.
Space group   F-43m, No. 216
Total moment   0.00 μB per formula unit
DOS(E_F)   0.28 states/eV per atom

a = 4.918 Å, b = 4.918 Å, c = 4.918 Å
α = 60.00°, β = 60.00°, γ = 60.00°
Positions (direct):
Tl (0.500, 0.500, 0.500)
Hg (0.250, 0.250, 0.250)
Dy (0.000, 0.000, 0.000)